Entry from the Alexandria database: a relaxed structure of FeHgO (PBE+U). Values from VASP.

The calculation puts the mass density at 7.65 Mg/m³. The calculation puts the energy at -4.27 eV/atom. The symmetry is No. 2.

```
&SYSTEM
  ibrav = 0, nat = 6, ntyp = 3
/
ATOMIC_SPECIES
Fe 55.84 Fe.upf
Hg 200.59 Hg.upf
O 16.00 O.upf
ATOMIC_POSITIONS crystal
Fe 0.162 0.470 0.212
Fe 0.838 0.530 0.788
Hg 0.108 0.078 0.706
Hg 0.892 0.922 0.294
O 0.288 0.616 0.814
O 0.712 0.384 0.186
CELL_PARAMETERS angstrom
3.721 0.000 0.000
1.662 5.760 0.000
1.782 1.911 5.518
```